The following is a PBE+U calculation of a geometry-optimized AsWO6 structure, from the Alexandria database.

Results
SG: No. 12
calculated total energy: -6.31 eV per atom
calculated density: 5.6 g/cm³
Fermi-level density of states: 0.546 states/eV/atom
total magnetization: 0.7 μB per formula unit

Cell: 5.4119 5.4119 4.7373 Å, 96.22 96.22 128.09°
Positions (direct):
As 0.0000 0.0000 0.0000
W 0.5000 0.5000 0.5000
O 0.1069 0.3641 0.2380
O 0.2459 0.2459 0.7565
O 0.3641 0.1069 0.2380
O 0.6359 0.8931 0.7620
O 0.7541 0.7541 0.2435
O 0.8931 0.6359 0.7620